Compound: PaV2IO8
Source: Alexandria via LeMat-Bulk
Functional: PBE with a Hubbard U
Structure: optimized geometry

Output
DFT total energy in eV/atom: -7.42

abc: 5.9639 5.9639 7.7710
angles: 90.00 90.00 120.00
Space group P-3m1 (No. 164)
Symmetry-distinct sites (fractional):
Pa  0.0000  0.0000  0.0000 (multiplicity 1)
V  0.3333  0.6667  0.7591 (multiplicity 2)
I  0.0000  0.0000  0.5000 (multiplicity 1)
O  0.1705  0.3410  0.8364 (multiplicity 6)
O  0.3333  0.6667  0.5478 (multiplicity 2)